{"formula": "LuUOs4", "functional": "PBE", "state": "optimized geometry", "cell": [[0.000, 3.763, 3.763], [3.763, 0.000, 3.763], [3.763, 3.763, 0.000]], "species": ["Lu", "U", "Os", "Os", "Os", "Os"], "fractional_positions": [[0.000, 0.000, 0.000], [0.250, 0.250, 0.250], [0.124, 0.625, 0.625], [0.625, 0.124, 0.625], [0.625, 0.625, 0.124], [0.625, 0.625, 0.625]], "spacegroup": "F-43m (216)", "formation_enthalpy_0k_mev_per_atom": -193.1}